[1]
Computed, not measured: an optimized crystal structure of DyHoTlNi2 at the PBE-GGA level of DFT.

POSCAR file:
```
DyHoTlNi2
1.0
-0.501 -3.228 1.685
6.020 1.291 4.263
3.050 2.787 6.245
Tl Ni Dy Ho
1 2 1 1
direct
0.500 0.000 0.000
0.500 0.201 0.201
0.500 0.799 0.799
0.000 0.640 0.640
0.000 0.360 0.360
```

## Properties
Total energy: -5.02 eV per atom
Volume: 20.59 Å³ per atom

[2]
Computed, not measured: an optimized crystal structure of NaAsOsO at the PBE-GGA level of DFT.

POSCAR file:
```
NaAsOsO
1.0
3.601 0.000 0.000
0.000 6.895 0.000
0.000 0.000 5.669
Os Na O As
2 2 2 2
direct
0.500 0.527 0.599
0.500 0.473 0.099
0.000 0.879 0.895
0.000 0.121 0.395
0.500 0.701 0.880
0.500 0.299 0.380
0.000 0.312 0.880
0.000 0.688 0.380
```

## Properties
ΔE to the lowest computed polymorph: 0.000 eV per atom
Volume: 17.60 Å³ per atom

[3]
Computed, not measured: an optimized crystal structure of Na3TaTe2Se2 at the PBE-GGA level of DFT.

POSCAR file:
```
Na3TaTe2Se2
1.0
-6.795 -2.156 -0.724
2.160 -4.623 -5.031
1.048 -4.998 5.042
Na Se Te Ta
3 2 2 1
direct
0.500 0.000 0.979
0.000 0.000 0.509
0.000 0.500 0.979
0.192 0.808 0.804
0.808 0.192 0.804
0.217 0.217 0.212
0.783 0.783 0.212
0.000 0.000 0.001
```

## Properties
Total energy: -4.43 eV per atom
Volume: 46.05 Å³ per atom

[4]
Computed, not measured: an optimized crystal structure of TmZrS2Br2 at the PBE-GGA level of DFT.

POSCAR file:
```
TmZrS2Br2
1.0
3.811 0.000 0.000
0.000 5.238 0.000
0.000 0.000 8.739
Zr S Tm Br
1 2 1 2
direct
0.500 0.000 0.109
0.000 0.000 0.904
0.500 0.500 0.107
0.000 0.500 0.887
0.000 0.000 0.334
0.500 0.500 0.658
```

## Properties
Total energy: -5.80 eV per atom
Volume: 29.07 Å³ per atom

[5]
Computed, not measured: an optimized crystal structure of BaLi3Sm2Pb3 at the PBE-GGA level of DFT.

POSCAR file:
```
BaLi3Sm2Pb3
1.0
-2.957 1.438 3.631
-1.515 -3.390 -3.195
4.464 -8.652 7.062
Sm Pb Li Ba
2 3 3 1
direct
0.000 0.000 0.343
0.000 0.000 0.657
0.333 0.667 0.793
0.667 0.333 0.500
0.333 0.667 0.207
0.667 0.333 0.216
0.667 0.333 0.784
0.333 0.667 0.500
0.000 0.000 0.000
```

## Properties
Total energy: -3.64 eV per atom
Volume: 27.78 Å³ per atom

[6]
Computed, not measured: an optimized crystal structure of BaTcAs at the PBE-GGA level of DFT.

POSCAR file:
```
BaTcAs
1.0
0.000 3.334 3.334
3.334 0.000 3.334
3.334 3.334 0.000
Tc As Ba
1 1 1
direct
0.250 0.250 0.250
0.500 0.500 0.500
0.000 0.000 0.000
```

## Properties
ΔE to the lowest computed polymorph: 0.000 eV per atom
Volume: 24.71 Å³ per atom

[7]
Computed, not measured: an optimized crystal structure of TbSn3 at the PBE-GGA level of DFT.

POSCAR file:
```
TbSn3
1.0
3.729 6.934 4.926
6.485 6.574 -0.987
0.572 9.265 -0.298
Sn Tb
9 3
direct
0.000 0.500 0.500
0.500 0.500 0.000
0.224 0.721 0.721
0.776 0.279 0.279
0.721 0.224 0.721
0.721 0.721 0.224
0.500 0.000 0.500
0.279 0.279 0.776
0.279 0.776 0.279
0.000 0.000 0.000
0.227 0.227 0.227
0.773 0.773 0.773
```

## Properties
Total energy: -4.57 eV per atom
Volume: 26.14 Å³ per atom

[8]
Computed, not measured: an optimized crystal structure of Pr2Mg at the PBE-GGA level of DFT.

POSCAR file:
```
Pr2Mg
1.0
5.807 -2.769 -1.562
3.528 -3.136 4.642
0.583 -6.592 -0.176
Pr Mg
4 2
direct
0.625 0.125 0.625
0.625 0.625 0.625
0.625 0.625 0.125
0.125 0.625 0.625
0.000 0.000 0.000
0.250 0.250 0.250
```

## Properties
Total energy: -3.41 eV per atom
Volume: 34.20 Å³ per atom

[9]
Computed, not measured: an optimized crystal structure of PrIrNO at the PBE-GGA level of DFT.

POSCAR file:
```
PrIrNO
1.0
-2.442 -4.427 -2.350
2.127 -4.914 7.047
-4.177 1.193 2.093
N O Ir Pr
4 4 4 4
direct
0.639 0.856 0.750
0.139 0.144 0.750
0.361 0.144 0.250
0.861 0.856 0.250
0.916 0.405 0.933
0.084 0.595 0.433
0.416 0.595 0.933
0.584 0.405 0.433
0.407 0.014 0.593
0.593 0.986 0.093
0.907 0.986 0.593
0.093 0.014 0.093
0.489 0.662 0.427
0.011 0.662 0.927
0.511 0.338 0.927
0.989 0.338 0.427
```

## Properties
ΔE to the lowest computed polymorph: 0.000 eV per atom
Volume: 14.87 Å³ per atom

[10]
Computed, not measured: an optimized crystal structure of Zr3SiB4 at the PBE-GGA level of DFT.

POSCAR file:
```
Zr3SiB4
1.0
3.182 0.000 0.000
0.000 3.619 0.000
0.000 0.000 8.422
Si Zr B
1 3 4
direct
0.000 0.000 0.000
0.000 0.500 0.500
0.500 0.500 0.181
0.500 0.500 0.819
0.500 0.000 0.389
0.500 0.000 0.611
0.000 0.000 0.285
0.000 0.000 0.715
```

## Properties
Total energy: -7.98 eV per atom
Volume: 12.12 Å³ per atom

[11]
Computed, not measured: an optimized crystal structure of LaBeNbFe at the PBE-GGA level of DFT.

POSCAR file:
```
LaBeNbFe
1.0
2.786 -0.254 3.576
0.502 3.580 2.746
-1.708 -0.108 4.205
Be La Fe Nb
1 1 1 1
direct
0.750 0.750 0.750
0.500 0.500 0.500
0.000 0.000 0.000
0.250 0.250 0.250
```

## Properties
ΔE to the lowest computed polymorph: 0.063 eV per atom
Volume: 16.54 Å³ per atom

[12]
Computed, not measured: an optimized crystal structure of Zr4IrPd at the PBE-GGA level of DFT.

POSCAR file:
```
Zr4IrPd
1.0
-2.423 2.361 3.290
-0.925 -4.980 2.893
4.265 3.968 0.294
Zr Ir Pd
4 1 1
direct
0.000 0.093 0.405
0.000 0.405 0.093
0.500 0.597 0.905
0.500 0.905 0.597
0.000 0.747 0.747
0.500 0.253 0.253
```

## Properties
Energy of formation: -0.564 eV per atom
Volume: 19.83 Å³ per atom